(1)
Below is a geometry-optimized MgHgN2 structure, with properties calculated at the PBE level.

Lattice parameters (Å, degrees): 4.1406 4.1406 4.1406 60.00 60.00 60.00
Last column: magnetic moment on the atom in μB.
Sites, in units of the cell vectors:
Mg 0.0000 0.0000 0.0000  -0.01
N 0.7500 0.7500 0.7500  0.73
N 0.2500 0.2500 0.2500  0.73
Hg 0.5000 0.5000 0.5000  0.04

## Properties
D(E_F) (states/eV/f.u.): 1.6
Energy relative to the lowest polymorph listed for this composition (meV per atom): 394
Symmetry: Fm-3m (225)
Formation energy without anion corrections (eV per atom): 1.16

=====

(2)
Below is a geometry-optimized MgHgN2 structure, with properties calculated at the PBE level.

Lattice parameters (Å, degrees): 6.7534 6.7534 6.7534 27.95 27.95 27.95
Last column: magnetic moment on the atom in μB.
Sites, in units of the cell vectors:
Hg 0.0000 0.0000 0.0000  0.03
N 0.1050 0.1050 0.1050  0.69
N 0.8950 0.8950 0.8950  0.69
Mg 0.5000 0.5000 0.5000  0.01

## Properties
D(E_F) (states/eV/f.u.): 1.7
Energy relative to the lowest polymorph listed for this composition (meV per atom): 0
Symmetry: R-3m (166)
Formation energy without anion corrections (eV per atom): 0.77

=====

(3)
Below is a geometry-optimized Mg2NiHgN structure, with properties calculated at the PBE level.

Lattice parameters (Å, degrees): 4.3715 4.3715 3.8397 90.00 90.00 90.00
Sites, in units of the cell vectors:
Ni 0.0000 0.0000 0.5000
Hg 0.5000 0.5000 0.5000
Mg 0.0000 0.5000 0.0000
N 0.0000 0.0000 0.0000
Mg 0.5000 0.0000 0.0000

## Properties
D(E_F) (states/eV/f.u.): 2.6
Symmetry: P4/mmm (123)
Formation energy without anion corrections (eV per atom): -0.28

=====

(4)
Below is a geometry-optimized MgHgNO2 structure, with properties calculated at the PBE level.

Lattice parameters (Å, degrees): 4.2640 4.2640 4.0738 90.00 90.00 90.00
Last column: magnetic moment on the atom in μB.
Sites, in units of the cell vectors:
N 0.0000 0.0000 0.5000  0.71
Mg 0.5000 0.5000 0.5000  -0.01
O 0.5000 0.0000 0.0000  0.11
Hg 0.0000 0.0000 0.0000  0.07
O 0.0000 0.5000 0.0000  0.11

## Properties
D(E_F) (states/eV/f.u.): 2.2
Symmetry: P4/mmm (123)
Formation energy without anion corrections (eV per atom): 0.64

=====

(5)
Below is a geometry-optimized MgHgNO2 structure, with properties calculated at the PBE level.

Lattice parameters (Å, degrees): 3.9389 3.9389 4.2407 90.00 90.00 90.00
Last column: magnetic moment on the atom in μB.
Sites, in units of the cell vectors:
O 0.0000 0.5000 0.0000  0.66
N 0.0000 0.0000 0.5000  1.13
Mg 0.0000 0.0000 0.0000  -0.01
O 0.5000 0.0000 0.0000  0.66
Hg 0.5000 0.5000 0.5000  -0.04

## Properties
D(E_F) (states/eV/f.u.): 2.6
Symmetry: P4/mmm (123)
Formation energy without anion corrections (eV per atom): 0.23

=====

(6)
Below is a geometry-optimized MgHgRh2N structure, with properties calculated at the PBE level.

Lattice parameters (Å, degrees): 4.1481 4.1481 4.2126 90.00 90.00 90.00
Last column: magnetic moment on the atom in μB.
Sites, in units of the cell vectors:
Rh 0.0000 0.5000 0.0000  0.05
Hg 0.5000 0.5000 0.5000  0.00
N 0.0000 0.0000 0.0000  0.02
Mg 0.0000 0.0000 0.5000  0.00
Rh 0.5000 0.0000 0.0000  0.05

## Properties
D(E_F) (states/eV/f.u.): 4.6
Symmetry: P4/mmm (123)
Formation energy without anion corrections (eV per atom): -0.09